A geometry-optimized PuNiHgRh structure, computed with PBE.

a b c (Å): 4.6820 4.6820 4.6820
angles (deg): 60.00 60.00 60.00
Closest atoms and distances in Å follow each position.
Positions (direct):
Pu 0.0000 0.0000 0.0000  4 Ni 2.87, 4 Rh 2.87
Ni 0.7500 0.7500 0.7500  4 Hg 2.87, 4 Pu 2.87
Hg 0.5000 0.5000 0.5000  4 Rh 2.87, 4 Ni 2.87
Rh 0.2500 0.2500 0.2500  4 Hg 2.87, 4 Pu 2.87

Values from the calculation:
- SG = F-43m (216)
- ΔE_f (eV/f.u.) = -0.50
- total magnetization (μB per atom) = 1.16

=====

A geometry-optimized BeSi23 structure, computed with PBE.

a b c (Å): 10.2181 10.2181 10.2181
angles (deg): 90.00 90.00 90.00
Closest atoms and distances in Å follow each position.
Positions (direct):
Be 0.0000 0.0000 0.0000  20 Si 3.24-3.36
Be 0.5000 0.5000 0.5000  20 Si 3.24-3.36
Si 0.0000 0.1169 0.3075  4 Si 2.36-2.39
Si 0.0000 0.1169 0.6925  4 Si 2.36-2.39
Si 0.0000 0.2500 0.5000  4 Si 2.39
Si 0.0000 0.7500 0.5000  4 Si 2.39
Si 0.0000 0.8831 0.3075  4 Si 2.36-2.39
Si 0.0000 0.8831 0.6925  4 Si 2.36-2.39
Si 0.1169 0.3075 0.0000  4 Si 2.36-2.39
Si 0.1169 0.6925 0.0000  4 Si 2.36-2.39
Si 0.1830 0.1830 0.1830  4 Si 2.36-2.37
Si 0.1830 0.1830 0.8170  4 Si 2.36-2.37
Si 0.1830 0.8170 0.1830  4 Si 2.36-2.37
Si 0.1830 0.8170 0.8170  4 Si 2.36-2.37
Si 0.1925 0.3831 0.5000  4 Si 2.36-2.39
Si 0.1925 0.6169 0.5000  4 Si 2.36-2.39
Si 0.2500 0.5000 0.0000  4 Si 2.39
Si 0.3075 0.0000 0.1169  4 Si 2.36-2.39
Si 0.3075 0.0000 0.8831  4 Si 2.36-2.39
Si 0.3170 0.3170 0.3170  4 Si 2.36-2.37
Si 0.3170 0.3170 0.6830  4 Si 2.36-2.37
Si 0.3170 0.6830 0.3170  4 Si 2.36-2.37
Si 0.3170 0.6830 0.6830  4 Si 2.36-2.37
Si 0.3831 0.5000 0.1925  4 Si 2.36-2.39
Si 0.3831 0.5000 0.8075  4 Si 2.36-2.39
Si 0.5000 0.0000 0.2500  4 Si 2.39
Si 0.5000 0.0000 0.7500  4 Si 2.39
Si 0.5000 0.1925 0.3831  4 Si 2.36-2.39
Si 0.5000 0.1925 0.6169  4 Si 2.36-2.39
Si 0.5000 0.8075 0.3831  4 Si 2.36-2.39
Si 0.5000 0.8075 0.6169  4 Si 2.36-2.39
Si 0.6169 0.5000 0.1925  4 Si 2.36-2.39
Si 0.6169 0.5000 0.8075  4 Si 2.36-2.39
Si 0.6830 0.3170 0.3170  4 Si 2.36-2.37
Si 0.6830 0.3170 0.6830  4 Si 2.36-2.37
Si 0.6830 0.6830 0.3170  4 Si 2.36-2.37
Si 0.6830 0.6830 0.6830  4 Si 2.36-2.37
Si 0.6925 0.0000 0.1169  4 Si 2.36-2.39
Si 0.6925 0.0000 0.8831  4 Si 2.36-2.39
Si 0.7500 0.5000 0.0000  4 Si 2.39
Si 0.8075 0.3831 0.5000  4 Si 2.36-2.39
Si 0.8075 0.6169 0.5000  4 Si 2.36-2.39
Si 0.8170 0.1830 0.1830  4 Si 2.36-2.37
Si 0.8170 0.1830 0.8170  4 Si 2.36-2.37
Si 0.8170 0.8170 0.1830  4 Si 2.36-2.37
Si 0.8170 0.8170 0.8170  4 Si 2.36-2.37
Si 0.8831 0.3075 0.0000  4 Si 2.36-2.39
Si 0.8831 0.6925 0.0000  4 Si 2.36-2.39

Values from the calculation:
- SG = Pm-3n (223)
- energy relative to the elements, uncorrected (kJ per mole of atoms) = 15.9
- total magnetization (μB per atom) = 0.00